The following is a DFT calculation (PBE) of a relaxed LaBe3Nb crystal.

Unit cell a=4.590 b=4.590 c=4.590 alpha=90.00 beta=90.00 gamma=90.00
Atoms (fractional coordinates):
Be (0.000, 0.500, 0.000)
La (0.500, 0.500, 0.500)
Be (0.500, 0.000, 0.000)
Nb (0.000, 0.000, 0.000)
Be (0.000, 0.000, 0.500)

Results
offset from the most stable computed form = 0.0000 eV per atom
total DFT energy (no corrections) = -0.337 Ry per atom
symmetry = No. 221
energy relative to the elements = 63 kJ per mole of atoms